Entry from Alexandria: TiAlO2F after structural relaxation (PBE).

```
TiAlO2F
1.0
3.899 0.000 0.000
0.000 3.899 0.000
0.000 0.000 4.107
Ti Al O F
1 1 2 1
Direct
0.000 0.000 0.000 Ti
0.500 0.500 0.500 Al
0.000 0.500 0.000 O
0.500 0.000 0.000 O
0.000 0.000 0.500 F
```

Properties
Total magnetic moment, μB per atom: 0.000
SG: P4/mmm
Uncorrected formation energy, eV/atom: -2.088